An optimized crystal structure of NdTm2Mg3In2Hg, computed with PBE.

Lattice parameters (Å, degrees): 4.638 7.562 7.562 121.10 90.00 90.00
Sites, in units of the cell vectors:
Mg 0.500 0.000 0.238
Mg 0.500 0.238 0.000
Mg 0.500 0.760 0.760
Hg 0.000 0.989 0.989
Nd 0.000 0.423 0.423
In 0.500 0.333 0.674
In 0.500 0.674 0.333
Tm 0.000 0.003 0.581
Tm 0.000 0.581 0.003

Results
- Magnetic moment: 0.01 μB/f.u.
- DFT total energy: -3.08 eV/atom